Compound: Y4PuS4
Source: Alexandria via LeMat-Bulk
Functional: PBE
Structure: optimized geometry

a b c (Å): 6.7560 6.7560 6.7560
angles (deg): 99.60 99.60 131.80
Positions (direct):
Y  0.8008  0.6025  0.4033
Y  0.1992  0.3975  0.5967
Y  0.6025  0.1992  0.8018
Y  0.3975  0.8008  0.1982
Pu  0.0000  0.0000  0.0000
S  0.6973  0.9015  0.5988
S  0.3027  0.0985  0.4012
S  0.9015  0.3027  0.2042
S  0.0985  0.6973  0.7958

## Properties
space group: I4/m (87)
raw formation energy: -1.70 eV/atom
Fermi-level density of states: 10.7 states/eV per cell
electronic total energy: -8.00 eV/atom